Entry from Alexandria: a geometry-optimized NbFeH2 structure (PBE-GGA).

Cell: 5.1993 5.1993 5.1993 Å, 90.00 90.00 90.00°
Last column: nearest neighbours and their distance in Å.
Space group Fm-3m (No. 225)
One atom of each set of equivalent atoms:
1 Nb 0.0000 0.0000 0.0000 x4  8 H 2.25
2 Fe 0.0000 0.0000 0.5000 x4  8 H 2.25
3 H 0.2500 0.2500 0.2500 x8  4 Nb 2.25, 4 Fe 2.25

Its crystal system is cubic. The value obtained for the total energy is -6.001 eV/atom. The energy above the most stable polymorph in this dataset comes out at 392 meV per atom.